Here is crystalline LiSiSb2 at its relaxed geometry from Alexandria. Energies are from PBE.

Cell and atoms, written as POSCAR:
```
LiSiSb2
1.0
-1.9438 2.0479 5.5860
1.9438 -2.0479 5.5860
1.9438 2.0479 -5.5860
Li Si Sb
1 1 2
direct
0.0000 0.0000 0.0000
0.7030 0.2030 0.5000
0.2853 0.7853 0.5000
0.5138 0.5138 0.0000
```

uncorrected formation energy: 0.09 eV per atom
spin magnetization: 0.00 μB/f.u.